Computed, not measured: a relaxed structure of NdZnGa2Au2 at the PBE level of DFT.

**ΔE_f**: -505 meV per atom
**Magnetization**: 0.00 μB/atom

Cell: 4.4374 4.4374 7.0054 Å, 90.00 90.00 120.00°
Last column: nearest neighbours and their distance in Å.
Space group P-3m1 (No. 164)
Asymmetric unit:
Nd1 0.0000 0.0000 0.0000 (multiplicity 1)  6 Ga 3.19, 6 Au 3.36, 2 Zn 3.50
Zn1 0.0000 0.0000 0.5000 (multiplicity 1)  6 Au 2.88, 6 Ga 3.02
Ga1 0.3333 0.6667 0.7289 (multiplicity 2)  3 Au 2.58
Au1 0.3333 0.6667 0.3114 (multiplicity 2)  3 Ga 2.58, 3 Zn 2.88